! Co2CuPbO PBE+U relaxed; values from VASP
! Total moment in μB/f.u.: 3.60
! Calculated total energy in eV per atom: -3.28
&SYSTEM
  ibrav = 0, nat = 5, ntyp = 4
/
ATOMIC_SPECIES
Co 58.93 Co.upf
Cu 63.55 Cu.upf
Pb 207.20 Pb.upf
O 16.00 O.upf
CELL_PARAMETERS angstrom
5.135 0.000 0.000
0.000 5.135 0.000
0.000 0.000 4.323
ATOMIC_POSITIONS angstrom
Co 0.000 2.567 0.000
Co 2.567 0.000 0.000
Cu 0.000 0.000 2.162
Pb 2.567 2.567 0.000
O 2.567 2.567 2.162